Density functional theory data (PBE) for a relaxed structure of Sc2SnRh.

POSCAR file:
```
Sc2SnRh
1.0
1.8314 0.0000 9.7722
-0.9157 1.5860 9.7722
-0.9157 -1.5860 9.7722
Sc Rh Sn
2 1 1
Cartesian
0.0000 0.0000 26.9369
0.0000 0.0000 2.3797
0.0000 0.0000 0.0000
0.0000 0.0000 14.6583
```

VASP energy ... -6.120 eV per atom
Symmetry ... R-3m
Energy relative to the elements ... -0.116 eV/atom
Density of states at the Fermi level ... 3.838 states/eV per cell